VASP calculation (PBE) on a relaxed Tl2CrCu crystal.

Unit cell a=4.4190 b=3.6346 c=5.6136 alpha=70.62 beta=90.00 gamma=90.00
Each line ends with the local moment (μB).
Positions (direct):
1 Cu 0.5000 0.5518 0.7674  0.04
2 Tl 0.0000 0.9688 0.9303  -0.01
3 Cr 0.0000 0.6966 0.4867  3.67
4 Tl 0.5000 0.2828 0.3156  0.00

Results
Space group   Pm, No. 6
V   21.262 Å³/atom
Total magnetization   4.09 μB/f.u.
Formation energy from the elements   0.48 eV/atom
Total DFT energy (no corrections)   -4.130 eV/atom

=====

VASP calculation (PBE) on a relaxed Nb2Ag2RhS6 crystal.

Unit cell a=6.0315 b=6.0315 c=7.5608 alpha=85.96 beta=85.96 gamma=121.96
Positions (direct):
1 S 0.3575 0.3575 0.2808
2 S 0.9487 0.2865 0.6832
3 S 0.0513 0.7135 0.3168
4 Ag 0.8545 0.1455 0.0000
5 Nb 0.3635 0.6365 0.5000
6 Nb 0.6365 0.3635 0.5000
7 S 0.2865 0.9487 0.6832
8 S 0.6425 0.6425 0.7192
9 Rh 0.0000 0.0000 0.5000
10 Ag 0.1455 0.8545 0.0000
11 S 0.7135 0.0513 0.3168

Results
Space group   C2/m, No. 12
V   20.991 Å³/atom
Total magnetization   0.00 μB/f.u.
Formation energy (no corrections)   -13.260 kcal/mol of atoms
Total DFT energy (no corrections)   -5.844 eV/atom

=====

VASP calculation (PBE) on a relaxed CaCd3Au3 crystal.

Unit cell a=7.5940 b=7.5940 c=7.5940 alpha=90.00 beta=90.00 gamma=90.00
Positions (direct):
1 Ca 0.5000 0.5000 0.5000
2 Cd 0.0000 0.7500 0.5000
3 Cd 0.5000 0.0000 0.7500
4 Ca 0.0000 0.0000 0.0000
5 Cd 0.5000 0.0000 0.2500
6 Cd 0.0000 0.2500 0.5000
7 Au 0.2500 0.0000 0.5000
8 Au 0.5000 0.7500 0.0000
9 Cd 0.7500 0.5000 0.0000
10 Au 0.0000 0.5000 0.2500
11 Au 0.7500 0.0000 0.5000
12 Au 0.5000 0.2500 0.0000
13 Cd 0.2500 0.5000 0.0000
14 Au 0.0000 0.5000 0.7500

Results
Space group   Pm-3n, No. 223
V   31.282 Å³/atom
Total magnetization   0.00 μB/f.u.
Formation energy from the elements   0.06 eV/atom
Total DFT energy (no corrections)   -2.020 eV/atom

=====

VASP calculation (PBE) on a relaxed La4CeDy3S8 crystal.

Unit cell a=8.0566 b=8.1213 c=8.0566 alpha=119.74 beta=120.00 gamma=90.00
Each line ends with the local moment (μB).
Positions (direct):
1 S 0.7534 0.2673 0.0139  0.00
2 La 0.5000 0.0000 0.0000  0.00
3 La 0.0000 0.0000 0.5000  0.00
4 S 0.2568 0.2704 0.5136  0.00
5 Ce 0.0000 0.5000 0.0000  0.32
6 Dy 0.5000 0.5000 0.0000  0.01
7 S 0.7395 0.7327 0.9861  0.00
8 Dy 0.0000 0.5000 0.5000  0.01
9 Dy 0.5000 0.5000 0.5000  0.01
10 S 0.7534 0.2673 0.5068  0.00
11 S 0.2466 0.7327 0.9861  0.00
12 S 0.7432 0.7296 0.4864  0.00
13 S 0.2466 0.7327 0.4932  0.00
14 La 0.0000 0.0000 0.0000  0.00
15 S 0.2605 0.2673 0.0139  0.00
16 La 0.5000 0.0000 0.5000  0.00

Results
Space group   R-3m, No. 166
V   23.388 Å³/atom
Total magnetization   0.42 μB/f.u.
Formation energy (no corrections)   -48.178 kcal/mol of atoms
Total DFT energy (no corrections)   -6.619 eV/atom

=====

VASP calculation (PBE) on a relaxed FeCu2Te crystal.

Unit cell a=4.3772 b=4.3772 c=4.3772 alpha=60.00 beta=60.00 gamma=60.00
Each line ends with the local moment (μB).
Positions (direct):
1 Te 0.7500 0.7500 0.7500  -0.02
2 Cu 0.2500 0.2500 0.2500  0.04
3 Cu 0.0000 0.0000 0.0000  0.01
4 Fe 0.5000 0.5000 0.5000  2.05

Results
Space group   F-43m, No. 216
V   14.826 Å³/atom
Total magnetization   1.98 μB/f.u.
Formation energy (no corrections)   8.710 kcal/mol of atoms
Total DFT energy (no corrections)   -4.571 eV/atom

=====

VASP calculation (PBE) on a relaxed Pr6PtS5 crystal.

Unit cell a=7.1627 b=7.1627 c=7.1641 alpha=99.63 beta=99.63 gamma=119.87
Positions (direct):
1 S 0.5000 0.5000 0.5000
2 Pr 0.2528 0.2528 0.7475
3 S 0.1677 0.8323 0.5000
4 S 0.6660 0.3340 0.0000
5 Pr 0.7472 0.7472 0.2525
6 Pt 0.0000 0.0000 0.0000
7 Pr 0.4196 0.0824 0.2504
8 S 0.3340 0.6660 0.0000
9 S 0.8323 0.1677 0.5000
10 Pr 0.0824 0.4196 0.2504
11 Pr 0.5804 0.9176 0.7496
12 Pr 0.9176 0.5804 0.7496

Results
Space group   C2/m, No. 12
V   25.035 Å³/atom
Total magnetization   0.00 μB/f.u.
Formation energy (no corrections)   -43.064 kcal/mol of atoms
Total DFT energy (no corrections)   -6.480 eV/atom